No. 1
UCuAsN: optimized geometry, PBE.

Computed properties:
crystal system	tetragonal
total magnetic moment	0.264	μB per atom
E_form (uncorrected)	-87.5	kJ per mole of atoms

Structure (POSCAR):
```
UCuAsN
1.0
-3.255 1.321 -1.523
0.105 -2.776 -2.634
-4.399 -4.985 5.079
U Cu As N
2 2 2 2
Cartesian
-4.453 -2.542 2.501
-1.521 -3.171 0.500
-1.575 -0.728 -2.078
0.000 0.000 0.000
-3.525 -5.442 2.813
-2.449 -0.271 0.188
-2.200 -2.493 2.540
-3.774 -3.220 0.461
```

No. 2
YCuAs2N: optimized geometry, PBE.

Computed properties:
crystal system	tetragonal
total magnetic moment	0.000	μB per atom
E_form (uncorrected)	98.1	kJ per mole of atoms

Structure (POSCAR):
```
YCuAs2N
1.0
5.482 0.000 0.000
0.000 4.268 0.000
0.000 0.000 5.482
Y As Cu N
1 2 1 1
Cartesian
0.000 0.000 0.000
0.000 0.000 2.741
2.741 0.000 0.000
2.741 2.134 2.741
0.000 2.134 0.000
```

No. 3
ZnCu2AsN: optimized geometry, PBE.

Computed properties:
crystal system	tetragonal
total magnetic moment	0.000	μB per atom
E_form (uncorrected)	92.0	kJ per mole of atoms

Structure (POSCAR):
```
ZnCu2AsN
1.0
4.645 0.000 0.000
0.000 3.852 0.000
0.000 0.000 4.645
As Zn Cu N
1 1 2 1
Cartesian
0.000 0.000 0.000
2.322 1.926 2.322
0.000 0.000 2.322
2.322 0.000 0.000
0.000 1.926 0.000
```

No. 4
ZrCu2AsN: optimized geometry, PBE.

Computed properties:
crystal system	tetragonal
total magnetic moment	0.000	μB per atom
E_form (uncorrected)	95.9	kJ per mole of atoms

Structure (POSCAR):
```
ZrCu2AsN
1.0
-3.984 1.421 2.868
-2.254 0.126 -3.195
-1.253 -4.906 0.691
As Cu Zr N
1 2 1 1
Cartesian
-3.746 -1.680 0.182
-0.626 -2.453 0.346
-1.992 0.711 1.434
0.000 0.000 0.000
-1.127 0.063 -1.597
```

No. 5
Na2CuAs: optimized geometry, PBE.

Computed properties:
E_form	-0.098	eV per atom
crystal system	tetragonal
total magnetic moment	0.000	μB per atom

Structure (POSCAR):
```
Na2CuAs
1.0
-8.142 -2.285 7.084
7.094 0.796 8.411
-0.973 1.403 7.923
Na As Cu
4 2 2
Cartesian
-2.488 -0.428 5.757
1.216 0.014 9.826
0.582 0.686 13.775
-3.352 -0.441 17.479
0.000 0.000 0.000
-4.820 -0.813 11.378
-0.524 -0.744 7.747
2.798 0.728 12.041
```

No. 6
NaCu6As4: optimized geometry, PBE.

Computed properties:
E_form	0.017	eV per atom
crystal system	tetragonal
excess energy over the best structure of this formula in the dataset	0.34	eV per formula unit
total magnetic moment	0.000	μB per atom

Structure (POSCAR):
```
NaCu6As4
1.0
6.420 -0.217 -0.319
-3.161 5.592 0.319
-3.161 -1.759 5.318
Na Cu As
1 6 4
Cartesian
0.000 0.000 0.000
-3.901 3.514 2.697
-3.901 1.217 4.259
2.980 0.720 1.058
1.629 -0.988 2.499
-1.402 1.999 2.940
1.629 2.687 0.000
-2.227 -0.294 3.104
0.867 1.505 2.214
-2.227 2.994 0.868
-2.637 3.243 4.769
```

No. 7
Na3CuAs2: optimized geometry, PBE.

Computed properties:
E_form	-0.230	eV per atom
crystal system	orthorhombic
total magnetic moment	0.000	μB per atom

Structure (POSCAR):
```
Na3CuAs2
1.0
-3.567 -4.527 -1.807
2.922 -3.744 3.614
-4.407 5.692 4.533
Na Cu As
6 2 4
Cartesian
-1.253 -2.550 3.299
-3.798 -0.029 3.041
-0.736 0.130 5.659
-4.315 -2.710 0.682
0.408 -5.072 1.807
-1.053 -3.200 0.000
0.731 -0.936 0.903
2.192 -2.808 2.710
-1.709 -0.471 0.894
-3.342 -2.109 5.446
-2.529 2.650 4.791
-2.522 -5.229 1.549
```

No. 8
Na3CuAs3: optimized geometry, PBE.

Computed properties:
E_form	-0.330	eV per atom
crystal system	monoclinic
total magnetic moment	0.000	μB per atom

Structure (POSCAR):
```
Na3CuAs3
1.0
4.382 0.000 0.660
2.168 5.299 0.483
0.287 -0.102 12.971
Na Cu As
6 2 6
Cartesian
3.184 1.682 8.616
3.653 3.516 5.499
1.746 1.421 3.283
5.091 3.777 10.832
2.629 1.395 12.301
4.208 3.802 1.814
3.610 0.408 5.784
3.227 4.790 8.331
5.533 3.772 7.897
1.304 1.426 6.218
2.605 4.455 12.460
4.232 0.743 1.655
6.104 4.552 4.105
0.733 0.646 10.010
```

No. 9
NaCuAs2: optimized geometry, PBE.

Computed properties:
E_form	0.139	eV per atom
crystal system	cubic
excess energy over the best structure of this formula in the dataset	1.36	eV per formula unit
total magnetic moment	0.000	μB per atom

Structure (POSCAR):
```
NaCuAs2
1.0
0.401 1.974 4.195
-3.398 2.737 1.617
-2.679 -1.449 3.518
Na As Cu
1 2 1
Cartesian
0.000 0.000 0.000
-1.419 0.816 2.333
-4.257 2.447 6.998
-2.838 1.631 4.665
```

No. 10
NaCu4As: optimized geometry, PBE.

Computed properties:
E_form	0.054	eV per atom
crystal system	cubic
total magnetic moment	0.000	μB per atom

Structure (POSCAR):
```
NaCu4As
1.0
-2.480 -3.406 -2.672
-2.868 -3.371 2.302
-4.967 0.268 -0.389
Na As Cu
1 1 4
Cartesian
0.000 0.000 0.000
-2.579 -1.627 -0.190
-3.960 -4.205 -0.279
-5.013 -2.381 -1.629
-6.451 -4.071 -0.474
-5.207 -2.363 0.865
```

No. 11
Na2Cu3As4: optimized geometry, PBE.

Computed properties:
E_form	-0.096	eV per atom
crystal system	orthorhombic
total magnetic moment	0.000	μB per atom

Structure (POSCAR):
```
Na2Cu3As4
1.0
-2.380 -4.998 -0.703
2.228 1.357 4.933
-5.818 4.351 -0.149
Na Cu As
2 3 4
Cartesian
-1.834 -1.066 2.701
-4.136 1.776 1.379
-1.190 -2.499 -0.351
0.000 0.000 0.000
1.114 0.678 2.467
-2.730 3.985 3.332
-5.841 -0.305 -0.473
-3.241 -3.275 0.749
-0.130 1.015 4.554
```

No. 12
Na3Cu2As4: optimized geometry, PBE.

Computed properties:
E_form	-0.171	eV per atom
crystal system	monoclinic
excess energy over the best structure of this formula in the dataset	0.79	eV per formula unit
total magnetic moment	0.000	μB per atom

Structure (POSCAR):
```
Na3Cu2As4
1.0
4.484 0.000 0.000
0.000 5.713 0.974
-2.242 -1.808 7.019
Na Cu As
3 2 4
Cartesian
2.242 1.055 5.405
0.000 2.850 2.587
0.000 0.000 0.000
0.000 4.061 6.019
2.242 -0.155 1.974
2.242 1.654 0.295
2.242 3.977 4.801
0.000 2.252 7.697
0.000 -0.072 3.191
```

No. 13
NaCu6As4: optimized geometry, PBE.

Computed properties:
E_form	-0.014	eV per atom
crystal system	hexagonal
excess energy over the best structure of this formula in the dataset	0.00	eV per formula unit
total magnetic moment	0.000	μB per atom

Structure (POSCAR):
```
NaCu6As4
1.0
3.930 0.000 0.000
0.000 6.195 -3.576
0.000 0.000 7.153
Na Cu As
1 6 4
Cartesian
0.000 0.000 0.000
0.000 3.362 -1.330
1.965 3.644 3.576
0.000 3.362 1.330
0.000 5.666 0.000
1.965 1.275 4.944
1.965 1.275 2.209
1.965 5.053 1.599
1.965 2.283 0.000
1.965 5.053 -1.599
0.000 2.065 3.576
```

No. 14
NaCuAs3: optimized geometry, PBE.

Computed properties:
E_form	0.302	eV per atom
crystal system	cubic
excess energy over the best structure of this formula in the dataset	0.00	eV per formula unit
total magnetic moment	0.000	μB per atom

Structure (POSCAR):
```
NaCuAs3
1.0
4.822 0.000 0.000
0.000 4.822 0.000
0.000 0.000 4.822
Na As Cu
1 3 1
Cartesian
2.411 2.411 2.411
0.000 2.411 0.000
0.000 0.000 2.411
2.411 0.000 0.000
0.000 0.000 0.000
```

No. 15
NaCuAs2: optimized geometry, PBE.

Computed properties:
E_form	-0.043	eV per atom
crystal system	trigonal
excess energy over the best structure of this formula in the dataset	0.63	eV per formula unit
total magnetic moment	0.000	μB per atom

Structure (POSCAR):
```
NaCuAs2
1.0
3.880 0.000 0.000
1.940 3.360 0.000
1.940 1.120 6.498
Na As Cu
1 2 1
Cartesian
3.880 2.240 3.249
1.940 1.120 1.042
5.820 3.360 5.456
0.000 0.000 0.000
```

No. 16
Na5CuAs2: optimized geometry, PBE.

Computed properties:
E_form	-0.379	eV per atom
crystal system	hexagonal
total magnetic moment	0.000	μB per atom

Structure (POSCAR):
```
Na5CuAs2
1.0
5.102 0.000 0.000
-2.551 4.419 0.000
0.000 0.000 17.432
Na Cu As
10 2 4
Cartesian
0.000 0.000 6.261
0.000 0.000 2.455
2.551 1.473 4.358
0.000 0.000 14.977
2.551 1.473 0.909
0.000 2.946 13.074
0.000 2.946 16.523
0.000 2.946 9.625
2.551 1.473 7.807
0.000 0.000 11.172
0.000 2.946 4.358
2.551 1.473 13.074
2.551 1.473 10.775
0.000 2.946 2.059
0.000 2.946 6.657
2.551 1.473 15.373
```

No. 17
NaCu4As2: optimized geometry, PBE.

Computed properties:
E_form	-0.106	eV per atom
crystal system	orthorhombic
total magnetic moment	0.000	μB per atom

Structure (POSCAR):
```
NaCu4As2
1.0
-0.790 -0.238 -4.009
2.014 -3.493 -0.190
-6.914 -1.733 1.466
Na Cu As
1 4 2
Cartesian
0.000 0.000 0.000
-2.994 -3.989 -1.263
-1.251 -3.076 0.429
-2.697 -1.474 -1.470
-3.650 -2.150 0.847
-0.567 -2.560 -1.826
-5.124 -2.904 -0.907
```

No. 18
NaCuAs3: optimized geometry, PBE.

Computed properties:
E_form	1.270	eV per atom
crystal system	cubic
excess energy over the best structure of this formula in the dataset	4.84	eV per formula unit
total magnetic moment	0.000	μB per atom

Structure (POSCAR):
```
NaCuAs3
1.0
4.960 0.000 0.000
0.000 4.960 0.000
0.000 0.000 4.960
Na As Cu
1 3 1
Cartesian
0.000 0.000 0.000
0.000 2.480 0.000
0.000 0.000 2.480
2.480 0.000 0.000
2.480 2.480 2.480
```

No. 19
NaCuAs2: optimized geometry, PBE.

Computed properties:
E_form	-0.201	eV per atom
crystal system	monoclinic
excess energy over the best structure of this formula in the dataset	0.00	eV per formula unit
total magnetic moment	0.000	μB per atom

Structure (POSCAR):
```
NaCuAs2
1.0
-3.584 1.146 -4.831
-5.504 -2.150 -0.056
0.131 3.622 4.643
Na Cu As
2 2 4
Cartesian
-1.645 2.118 2.756
-7.313 0.501 -3.000
-4.143 0.521 -3.532
-4.815 2.098 3.288
-7.388 1.532 -0.068
-5.094 1.962 0.832
-1.569 1.087 -0.176
-3.864 0.656 -1.076
```

No. 20
NaCu4As2: optimized geometry, PBE.

Computed properties:
E_form	-0.117	eV per atom
crystal system	tetragonal
total magnetic moment	0.000	μB per atom

Structure (POSCAR):
```
NaCu4As2
1.0
-3.429 1.746 0.647
-0.947 -4.146 6.161
3.444 5.257 4.067
Na Cu As
2 8 4
Cartesian
-1.715 0.873 0.324
1.248 0.556 5.114
1.094 1.443 1.908
1.402 -0.331 8.321
0.148 3.287 3.680
-1.080 -0.430 7.195
0.788 3.572 6.304
-1.721 -0.715 4.571
-0.032 -0.970 2.445
2.529 2.081 7.784
2.467 3.165 4.533
0.030 -2.054 5.695
0.089 1.676 7.713
-1.022 1.181 3.162
```

Number 1: density of states at the Fermi level 8.322 states/eV/cell. Number 2: density of states at the Fermi level 3.984 states/eV/cell. Number 3: density of states at the Fermi level 3.559 states/eV/cell. Number 4: density of states at the Fermi level 3.214 states/eV/cell. Number 5: density of states at the Fermi level 0.018 states/eV/cell. Number 6: density of states at the Fermi level 5.892 states/eV/cell. Number 7: density of states at the Fermi level 6.681 states/eV/cell. Number 8: density of states at the Fermi level 3.611 states/eV/cell. Number 9: density of states at the Fermi level 1.811 states/eV/cell. Number 10: density of states at the Fermi level 1.870 states/eV/cell. Number 11: density of states at the Fermi level 2.312 states/eV/cell. Number 12: density of states at the Fermi level 3.243 states/eV/cell. Number 13: density of states at the Fermi level 4.174 states/eV/cell. Number 14: density of states at the Fermi level 2.762 states/eV/cell. Number 15: density of states at the Fermi level 1.434 states/eV/cell. Number 16: density of states at the Fermi level 0.854 states/eV/cell. Number 17: density of states at the Fermi level 2.833 states/eV/cell. Number 18: density of states at the Fermi level 3.829 states/eV/cell. Number 19: density of states at the Fermi level 0.668 states/eV/cell. Number 20: density of states at the Fermi level 6.565 states/eV/cell.